1.
Density functional theory data (GGA-PBE) for a relaxed structure of CuF.

Cell lengths 5.549, 5.549, 3.745 Å; angles 90.00, 90.00, 90.00 degrees
Space group P4_2/mnm (No. 136)
One atom of each set of equivalent atoms:
Cu 0.167 0.167 0.000 x4
F 0.193 0.193 0.500 x4

Output
density of states at the Fermi level = 3.0 states/eV per cell
final energy = -31.2 eV for the cell shown
E_form (uncorrected) = -176 kJ/mol of formula units



2.
Density functional theory data (GGA-PBE) for a relaxed structure of CuF.

Cell lengths 6.499, 6.499, 6.499 Å; angles 90.00, 90.00, 90.00 degrees
Space group I-43m (No. 217)
One atom of each set of equivalent atoms:
Cu 0.186 0.186 0.814 x8
F 0.146 0.146 0.146 x8

Output
density of states at the Fermi level = 11.4 states/eV per cell
final energy = -60.8 eV for the cell shown
E_form (uncorrected) = -157 kJ/mol of formula units



> Among the records above, which one has the highest final energy?

number 1